# 1
VASP calculation (GGA-PBE) on crystalline SrZr2Fe at its relaxed geometry.

Computed properties:
As for the space group: C2/m (12). Its size of the total moment is 2.17 μB per cell. Its formation energy is 2.85 eV/f.u. Its raw total energy is -24.392 eV/f.u. The density of states at the Fermi level comes out at 6.8 states/eV/cell.

Cell and atoms, written as POSCAR:
```
SrZr2Fe
1.0
-4.621 -1.634 -2.263
1.059 -2.388 5.841
-1.713 1.853 1.842
Fe Sr Zr
1 1 2
direct
0.000 0.500 0.500
0.500 0.500 0.000
0.000 0.000 0.000
0.500 0.000 0.500
```



# 2
VASP calculation (GGA-PBE) on crystalline CdPbSe2 at its relaxed geometry.

Computed properties:
As for the space group: R-3m (166). Its size of the total moment is 0.00 μB per cell. Its raw total energy is -11.969 eV/f.u. The density of states at the Fermi level comes out at 3.7 states/eV/cell.

Cell and atoms, written as POSCAR:
```
CdPbSe2
1.0
-6.091 -5.715 5.025
-3.949 -8.259 3.346
-2.817 -6.674 6.522
Pb Se Cd
1 2 1
direct
0.000 0.000 0.000
0.895 0.895 0.895
0.105 0.105 0.105
0.500 0.500 0.500
```



# 3
VASP calculation (GGA-PBE) on crystalline Rb2TlAgCl5 at its relaxed geometry.

Computed properties:
As for the space group: P4/mmm (123). Its size of the total moment is 0.00 μB per cell. Its raw total energy is -27.449 eV/f.u. The density of states at the Fermi level comes out at 2.3 states/eV/cell.

Cell and atoms, written as POSCAR:
```
Rb2TlAgCl5
1.0
4.989 0.000 0.000
0.000 4.989 0.000
0.000 0.000 11.583
Rb Tl Ag Cl
2 1 1 5
direct
0.500 0.500 0.285
0.500 0.500 0.715
0.000 0.000 0.000
0.000 0.000 0.500
0.000 0.500 0.500
0.500 0.000 0.500
0.000 0.000 0.742
0.000 0.000 0.258
0.500 0.500 0.000
```



# 4
VASP calculation (GGA-PBE) on crystalline RbCl at its relaxed geometry.

Computed properties:
As for the space group: I4/m (87). Its size of the total moment is 0.66 μB per cell. Its raw total energy is -6.595 eV/f.u. The density of states at the Fermi level comes out at 0.0 states/eV/cell.

Cell and atoms, written as POSCAR:
```
RbCl
1.0
-6.340 5.942 7.040
4.514 -5.447 8.662
4.743 4.579 0.407
Rb Cl
8 8
direct
0.354 0.148 0.000
0.646 0.852 0.000
0.852 0.354 0.000
0.148 0.646 0.000
0.854 0.648 0.500
0.146 0.352 0.500
0.352 0.854 0.500
0.648 0.146 0.500
0.351 0.854 0.000
0.649 0.146 0.000
0.146 0.351 0.000
0.854 0.649 0.000
0.851 0.354 0.500
0.149 0.646 0.500
0.646 0.851 0.500
0.354 0.149 0.500
```



Copy entry 1 word for word.
VASP calculation (GGA-PBE) on crystalline SrZr2Fe at its relaxed geometry.

Computed properties:
As for the space group: C2/m (12). Its size of the total moment is 2.17 μB per cell. Its formation energy is 2.85 eV/f.u. Its raw total energy is -24.392 eV/f.u. The density of states at the Fermi level comes out at 6.8 states/eV/cell.

Cell and atoms, written as POSCAR:
```
SrZr2Fe
1.0
-4.621 -1.634 -2.263
1.059 -2.388 5.841
-1.713 1.853 1.842
Fe Sr Zr
1 1 2
direct
0.000 0.500 0.500
0.500 0.500 0.000
0.000 0.000 0.000
0.500 0.000 0.500
```



Repeat the fourth record exactly.
VASP calculation (GGA-PBE) on crystalline RbCl at its relaxed geometry.

Computed properties:
As for the space group: I4/m (87). Its size of the total moment is 0.66 μB per cell. Its raw total energy is -6.595 eV/f.u. The density of states at the Fermi level comes out at 0.0 states/eV/cell.

Cell and atoms, written as POSCAR:
```
RbCl
1.0
-6.340 5.942 7.040
4.514 -5.447 8.662
4.743 4.579 0.407
Rb Cl
8 8
direct
0.354 0.148 0.000
0.646 0.852 0.000
0.852 0.354 0.000
0.148 0.646 0.000
0.854 0.648 0.500
0.146 0.352 0.500
0.352 0.854 0.500
0.648 0.146 0.500
0.351 0.854 0.000
0.649 0.146 0.000
0.146 0.351 0.000
0.854 0.649 0.000
0.851 0.354 0.500
0.149 0.646 0.500
0.646 0.851 0.500
0.354 0.149 0.500
```